11
Lattice="-3.546 4.179 -1.151 -2.266 0.373 -5.288 -7.589 -2.243 1.611" Properties=species:S:1:pos:R:3 comment="La2As4Ir5 (PBE-GGA, optimized geometry)" spacegroup="Fmmm (69)" volume_a3_per_cell=214 formation_energy_ev_per_atom=-0.565 mass_density_g_cm3=11.95 pbc="T T T"
Ir -1.133 0.187 -2.644
Ir -2.906 2.276 -3.219
Ir -1.773 2.090 -0.576
Ir -5.814 0.110 -2.126
Ir -7.587 2.199 -2.702
As -9.986 1.877 -3.293
As -5.364 1.910 -3.788
As -8.037 0.399 -1.039
As -3.415 0.432 -1.535
La -5.053 3.056 -0.585
La -6.082 -1.120 1.044